{"formula": "NbBO4", "functional": "PBE-GGA", "state": "optimized geometry", "raw_formation_energy_kcal_per_mol_atoms": -57.53, "sg": "I4_1/amd", "lattice": [[-3.1631, 3.1631, 2.7662], [3.1631, -3.1631, 2.7662], [3.1631, 3.1631, -2.7662]], "species": ["Nb", "Nb", "B", "B", "O", "O", "O", "O", "O", "O", "O", "O"], "frac_coords": [[0.3750, 0.6250, 0.7500], [0.6250, 0.3750, 0.2500], [0.1250, 0.8750, 0.2500], [0.8750, 0.1250, 0.7500], [0.1268, 0.6999, 0.4269], [0.2269, 0.3001, 0.9269], [0.3001, 0.2269, 0.4269], [0.3001, 0.8732, 0.0731], [0.6999, 0.1268, 0.9269], [0.6999, 0.7731, 0.5731], [0.7731, 0.6999, 0.0731], [0.8732, 0.3001, 0.5731]]}

{"formula": "K2TlSn5", "functional": "PBE-GGA", "state": "optimized geometry", "total_energy_ev_per_atom": -3.184, "sg": "Fmm2", "lattice": [[0.0000, 4.8005, 6.2822], [4.5696, 0.0000, 6.2822], [4.5696, 4.8005, 0.0000]], "species": ["K", "K", "Tl", "Sn", "Sn", "Sn", "Sn", "Sn"], "frac_coords": [[0.0000, 0.0000, 0.5000], [0.5000, 0.5000, 0.0000], [0.1018, 0.1018, 0.8982], [0.3828, 0.3828, 0.6172], [0.5210, 0.9755, 0.0245], [0.5311, 0.9725, 0.4689], [0.9725, 0.5311, 0.0275], [0.9755, 0.5210, 0.4790]]}

{"formula": "SiPRh", "functional": "PBE-GGA", "state": "optimized geometry", "raw_formation_energy_kcal_per_mol_atoms": -1.52, "sg": "I4mm", "lattice": [[-1.6643, 1.6643, 3.8141], [1.6643, -1.6643, 3.8141], [1.6643, 1.6643, -3.8141]], "species": ["Si", "P", "Rh"], "frac_coords": [[0.0000, 0.0000, 0.0000], [0.3336, 0.3336, 0.0000], [0.6619, 0.6619, 0.0000]]}

{"formula": "GaPbSeN2", "functional": "PBE-GGA", "state": "optimized geometry", "raw_formation_energy_kcal_per_mol_atoms": 22.10, "polymorph_energy_mev_per_atom": 0, "sg": "P4/mmm", "lattice": [[4.1419, 0.0000, 0.0000], [0.0000, 4.1419, 0.0000], [0.0000, 0.0000, 5.2971]], "species": ["Ga", "Pb", "Se", "N", "N"], "frac_coords": [[0.0000, 0.0000, 0.0000], [0.5000, 0.5000, 0.5000], [0.0000, 0.0000, 0.5000], [0.0000, 0.5000, 0.0000], [0.5000, 0.0000, 0.0000]]}

{"formula": "Y2SnIrPb", "functional": "PBE-GGA", "state": "optimized geometry", "total_energy_ev_per_atom": -4.816, "sg": "P4/mmm", "lattice": [[5.6652, 0.0000, 0.0000], [0.0000, 5.6652, 0.0000], [0.0000, 0.0000, 5.3590]], "species": ["Y", "Y", "Sn", "Ir", "Pb"], "frac_coords": [[0.0000, 0.5000, 0.0000], [0.5000, 0.0000, 0.0000], [0.0000, 0.0000, 0.5000], [0.5000, 0.5000, 0.5000], [0.0000, 0.0000, 0.0000]]}

{"formula": "AgTeIN2", "functional": "PBE-GGA", "state": "optimized geometry", "raw_formation_energy_kcal_per_mol_atoms": 39.84, "polymorph_energy_mev_per_atom": 478, "sg": "P4/mmm", "lattice": [[4.4007, 0.0000, 0.0000], [0.0000, 4.4007, 0.0000], [0.0000, 0.0000, 6.0246]], "species": ["Ag", "Te", "I", "N", "N"], "frac_coords": [[0.0000, 0.0000, 0.0000], [0.0000, 0.0000, 0.5000], [0.5000, 0.5000, 0.5000], [0.0000, 0.5000, 0.0000], [0.5000, 0.0000, 0.0000]]}

{"formula": "Ho5Tm4Th2", "functional": "PBE-GGA", "state": "optimized geometry", "polymorph_energy_mev_per_atom": 127, "sg": "Immm", "lattice": [[-2.7641, 4.6569, 6.8630], [2.7641, -4.6569, 6.8630], [2.7641, 4.6569, -6.8630]], "species": ["Ho", "Ho", "Ho", "Ho", "Ho", "Tm", "Tm", "Tm", "Tm", "Th", "Th"], "frac_coords": [[0.0000, 0.0000, 0.0000], [0.0754, 0.2431, 0.8324], [0.4107, 0.2431, 0.1676], [0.5893, 0.7569, 0.8324], [0.9246, 0.7569, 0.1676], [0.3102, 0.5000, 0.8102], [0.3754, 0.8754, 0.5000], [0.6246, 0.1246, 0.5000], [0.6898, 0.5000, 0.1898], [0.1368, 0.6368, 0.5000], [0.8632, 0.3632, 0.5000]]}

{"formula": "UIO", "functional": "PBE-GGA", "state": "optimized geometry", "raw_formation_energy_kcal_per_mol_atoms": -39.20, "sg": "P2_1/c", "lattice": [[7.6184, 0.0000, 0.0000], [0.0000, 7.6385, 0.0000], [-2.3237, 0.0000, 5.9574]], "species": ["U", "U", "U", "U", "I", "I", "I", "I", "O", "O", "O", "O"], "frac_coords": [[0.0060, 0.0949, 0.1527], [0.0060, 0.4051, 0.6527], [0.9940, 0.5949, 0.3473], [0.9940, 0.9051, 0.8473], [0.3027, 0.0975, 0.6733], [0.3027, 0.4025, 0.1733], [0.6973, 0.5975, 0.8267], [0.6973, 0.9025, 0.3267], [0.0942, 0.6998, 0.7030], [0.0942, 0.8002, 0.2030], [0.9058, 0.1998, 0.7970], [0.9058, 0.3002, 0.2970]]}

{"formula": "AlSi3P", "functional": "PBE-GGA", "state": "optimized geometry", "raw_formation_energy_kcal_per_mol_atoms": 7.19, "polymorph_energy_mev_per_atom": 0, "sg": "P-3", "lattice": [[6.1325, 0.0000, 0.0000], [-3.0663, 5.3109, 0.0000], [0.0000, 0.0000, 5.3282]], "species": ["Al", "Al", "Si", "Si", "Si", "Si", "Si", "Si", "P", "P"], "frac_coords": [[0.3333, 0.6667, 0.0006], [0.6667, 0.3333, 0.9994], [0.0007, 0.6472, 0.6560], [0.3528, 0.3535, 0.6560], [0.3535, 0.0007, 0.3440], [0.6465, 0.9993, 0.6560], [0.6472, 0.6465, 0.3440], [0.9993, 0.3528, 0.3440], [0.0000, 0.0000, 0.2036], [0.0000, 0.0000, 0.7964]]}

{"formula": "TbCeDy2Se4", "functional": "PBE-GGA", "state": "optimized geometry", "raw_formation_energy_kcal_per_mol_atoms": -41.00, "sg": "P2/m", "lattice": [[7.1295, 0.0000, 0.0000], [0.0000, 4.0782, 0.0000], [-2.3327, 0.0000, 6.7585]], "species": ["Tb", "Ce", "Dy", "Dy", "Se", "Se", "Se", "Se"], "frac_coords": [[0.0000, 0.0000, 0.0000], [0.5000, 0.5000, 0.0000], [0.0000, 0.5000, 0.5000], [0.5000, 0.0000, 0.5000], [0.2431, 0.0000, 0.7418], [0.2478, 0.5000, 0.2549], [0.7522, 0.5000, 0.7451], [0.7569, 0.0000, 0.2582]]}

{"formula": "TiSnN2O", "functional": "PBE-GGA", "state": "optimized geometry", "raw_formation_energy_kcal_per_mol_atoms": 9.27, "sg": "P4/mmm", "lattice": [[4.0770, 0.0000, 0.0000], [0.0000, 4.0770, 0.0000], [0.0000, 0.0000, 3.9529]], "species": ["Ti", "Sn", "N", "N", "O"], "frac_coords": [[0.0000, 0.0000, 0.0000], [0.5000, 0.5000, 0.5000], [0.0000, 0.5000, 0.5000], [0.5000, 0.0000, 0.5000], [0.5000, 0.5000, 0.0000]]}

{"formula": "TbDyAg2Se4", "functional": "PBE-GGA", "state": "optimized geometry", "raw_formation_energy_kcal_per_mol_atoms": -26.90, "sg": "P2/m", "lattice": [[6.8852, 0.0000, 0.0000], [0.0000, 4.1866, 0.0000], [-2.4939, 0.0000, 6.8015]], "species": ["Tb", "Dy", "Ag", "Ag", "Se", "Se", "Se", "Se"], "frac_coords": [[0.0000, 0.0000, 0.0000], [0.0000, 0.5000, 0.5000], [0.5000, 0.0000, 0.5000], [0.5000, 0.5000, 0.0000], [0.2458, 0.0000, 0.7461], [0.2460, 0.5000, 0.2481], [0.7542, 0.0000, 0.2539], [0.7540, 0.5000, 0.7519]]}

{"formula": "Rb3In", "functional": "PBE-GGA", "state": "optimized geometry", "polymorph_energy_mev_per_atom": 0, "sg": "Imm2", "lattice": [[-2.5528, 6.8320, 3.4782], [2.5528, -6.8320, 3.4782], [2.5528, 6.8320, -3.4782]], "species": ["Rb", "Rb", "Rb", "In"], "frac_coords": [[0.0000, 0.0000, 0.0000], [0.2880, 0.5000, 0.7880], [0.7120, 0.5000, 0.2120], [0.4989, 0.9989, 0.5000]]}

{"formula": "Ac2TbIn", "functional": "PBE-GGA", "state": "optimized geometry", "polymorph_energy_mev_per_atom": 0, "sg": "P2_1/m", "lattice": [[7.1258, 0.0000, 0.0000], [0.0000, 5.5431, 0.0000], [-1.8412, 0.0000, 7.3002]], "species": ["Ac", "Ac", "Ac", "Ac", "Tb", "Tb", "In", "In"], "frac_coords": [[0.1602, 0.2500, 0.4177], [0.1606, 0.2500, 0.9163], [0.8394, 0.7500, 0.0837], [0.8398, 0.7500, 0.5823], [0.3918, 0.7500, 0.2230], [0.6082, 0.2500, 0.7770], [0.3740, 0.7500, 0.7191], [0.6260, 0.2500, 0.2809]]}

{"formula": "Ba6Sr12La", "functional": "PBE-GGA", "state": "optimized geometry", "total_energy_ev_per_atom": -1.827, "sg": "R-3", "lattice": [[8.1782, 4.7217, 4.7474], [-8.1782, 4.7217, 4.7474], [0.0000, -9.4433, 4.7474]], "species": ["Ba", "Ba", "Ba", "Ba", "Ba", "Ba", "Sr", "Sr", "Sr", "Sr", "Sr", "Sr", "Sr", "Sr", "Sr", "Sr", "Sr", "Sr", "La"], "frac_coords": [[0.0845, 0.3416, 0.3408], [0.3408, 0.0845, 0.3416], [0.3416, 0.3408, 0.0845], [0.6584, 0.6592, 0.9155], [0.6592, 0.9155, 0.6584], [0.9155, 0.6584, 0.6592], [0.0954, 0.0946, 0.6823], [0.0946, 0.6823, 0.0954], [0.2421, 0.4994, 0.7577], [0.2423, 0.7579, 0.5006], [0.3177, 0.9046, 0.9054], [0.4994, 0.7577, 0.2421], [0.5006, 0.2423, 0.7579], [0.6823, 0.0954, 0.0946], [0.7577, 0.2421, 0.4994], [0.7579, 0.5006, 0.2423], [0.9054, 0.3177, 0.9046], [0.9046, 0.9054, 0.3177], [0.5000, 0.5000, 0.5000]]}

{"formula": "PuTc4C2", "functional": "PBE-GGA", "state": "optimized geometry", "total_energy_ev_per_atom": -10.420, "sg": "Cmmm", "lattice": [[1.9580, -6.7959, 0.0000], [1.9580, 6.7959, 0.0000], [0.0000, 0.0000, 3.8612]], "species": ["Pu", "Tc", "Tc", "Tc", "Tc", "C", "C"], "frac_coords": [[0.0000, 0.0000, 0.0000], [0.1745, 0.8255, 0.5000], [0.3165, 0.6835, 0.0000], [0.6835, 0.3165, 0.0000], [0.8255, 0.1745, 0.5000], [0.3777, 0.6223, 0.5000], [0.6223, 0.3777, 0.5000]]}

{"formula": "Be2NbIr2", "functional": "PBE-GGA", "state": "optimized geometry", "polymorph_energy_mev_per_atom": 0, "sg": "P4/mbm", "lattice": [[6.7358, 0.0000, 0.0000], [0.0000, 6.7358, 0.0000], [0.0000, 0.0000, 2.7836]], "species": ["Be", "Be", "Be", "Be", "Nb", "Nb", "Ir", "Ir", "Ir", "Ir"], "frac_coords": [[0.1173, 0.3827, 0.0000], [0.3827, 0.8827, 0.0000], [0.6173, 0.1173, 0.0000], [0.8827, 0.6173, 0.0000], [0.0000, 0.0000, 0.0000], [0.5000, 0.5000, 0.0000], [0.1744, 0.6744, 0.5000], [0.3256, 0.1744, 0.5000], [0.6744, 0.8256, 0.5000], [0.8256, 0.3256, 0.5000]]}

{"formula": "Fe2PbCl", "functional": "PBE-GGA", "state": "optimized geometry", "raw_formation_energy_kcal_per_mol_atoms": 1.48, "polymorph_energy_mev_per_atom": 0, "sg": "Pm", "lattice": [[3.2793, 0.0000, 0.0000], [0.0000, 3.2385, 0.0000], [-0.3890, 0.0000, 7.7928]], "species": ["Fe", "Fe", "Pb", "Cl"], "frac_coords": [[0.0000, 0.0000, 0.0000], [0.4698, 0.5000, 0.8728], [0.9376, 0.0000, 0.6219], [0.2978, 0.5000, 0.1943]]}

{"formula": "Li2Ti3AgO8", "functional": "PBE-GGA", "state": "optimized geometry", "raw_formation_energy_kcal_per_mol_atoms": -54.19, "sg": "R3m", "lattice": [[3.0158, 1.7412, 5.1462], [-3.0158, 1.7412, 5.1462], [0.0000, -3.4824, 5.1462]], "species": ["Li", "Li", "Ti", "Ti", "Ti", "Ag", "O", "O", "O", "O", "O", "O", "O", "O"], "frac_coords": [[0.0000, 0.0000, 0.0000], [0.3826, 0.3826, 0.3826], [0.3826, 0.3826, 0.8913], [0.3826, 0.8913, 0.3826], [0.8913, 0.3826, 0.3826], [0.7618, 0.7618, 0.7618], [0.1293, 0.1293, 0.5905], [0.1293, 0.5905, 0.1293], [0.1474, 0.1474, 0.1474], [0.1942, 0.6222, 0.6222], [0.5905, 0.1293, 0.1293], [0.6173, 0.6173, 0.6173], [0.6222, 0.1942, 0.6222], [0.6222, 0.6222, 0.1942]]}

{"formula": "TmHgS2", "functional": "PBE-GGA", "state": "optimized geometry", "raw_formation_energy_kcal_per_mol_atoms": -25.78, "polymorph_energy_mev_per_atom": 41, "sg": "R3m", "lattice": [[1.9854, 1.1463, 7.0492], [-1.9854, 1.1463, 7.0492], [0.0000, -2.2925, 7.0492]], "species": ["Tm", "Hg", "S", "S"], "frac_coords": [[0.0000, 0.0000, 0.0000], [0.8340, 0.8340, 0.8340], [0.4034, 0.4034, 0.4034], [0.5998, 0.5998, 0.5998]]}

{"formula": "Sc3TcSb", "functional": "PBE-GGA", "state": "optimized geometry", "raw_formation_energy_kcal_per_mol_atoms": -1.86, "polymorph_energy_mev_per_atom": 0, "sg": "Pm-3m", "lattice": [[4.9751, 0.0000, 0.0000], [0.0000, 4.9751, 0.0000], [0.0000, 0.0000, 4.9751]], "species": ["Sc", "Sc", "Sc", "Tc", "Sb"], "frac_coords": [[0.0000, 0.0000, 0.5000], [0.0000, 0.5000, 0.0000], [0.5000, 0.0000, 0.0000], [0.0000, 0.0000, 0.0000], [0.5000, 0.5000, 0.5000]]}

{"formula": "HoAl2Tc2C", "functional": "PBE-GGA", "state": "optimized geometry", "total_energy_ev_per_atom": -7.358, "sg": "P4/mmm", "lattice": [[4.1763, 0.0000, 0.0000], [0.0000, 4.1763, 0.0000], [0.0000, 0.0000, 5.4817]], "species": ["Ho", "Al", "Al", "Tc", "Tc", "C"], "frac_coords": [[0.0000, 0.0000, 0.0000], [0.5000, 0.5000, 0.2302], [0.5000, 0.5000, 0.7698], [0.0000, 0.5000, 0.5000], [0.5000, 0.0000, 0.5000], [0.0000, 0.0000, 0.5000]]}

{"formula": "La2TeC2", "functional": "PBE-GGA", "state": "optimized geometry", "raw_formation_energy_kcal_per_mol_atoms": -18.27, "sg": "C2/c", "lattice": [[7.4525, -2.2800, 0.0000], [7.4525, 2.2800, 0.0000], [-1.2031, 0.0000, 7.0589]], "species": ["La", "La", "La", "La", "Te", "Te", "C", "C", "C", "C"], "frac_coords": [[0.0666, 0.6366, 0.8509], [0.3634, 0.9334, 0.6491], [0.6366, 0.0666, 0.3509], [0.9334, 0.3634, 0.1491], [0.2801, 0.7199, 0.2500], [0.7199, 0.2801, 0.7500], [0.1415, 0.3928, 0.4749], [0.3928, 0.1415, 0.9749], [0.6072, 0.8585, 0.0251], [0.8585, 0.6072, 0.5251]]}

{"formula": "InSe", "functional": "PBE-GGA", "state": "optimized geometry", "raw_formation_energy_kcal_per_mol_atoms": -5.09, "sg": "Pm-3n", "lattice": [[8.0624, 0.0000, 0.0000], [0.0000, 8.0624, 0.0000], [0.0000, 0.0000, 8.0624]], "species": ["In", "In", "In", "In", "In", "In", "Se", "Se", "Se", "Se", "Se", "Se"], "frac_coords": [[0.0000, 0.2500, 0.5000], [0.0000, 0.7500, 0.5000], [0.2500, 0.5000, 0.0000], [0.5000, 0.0000, 0.2500], [0.5000, 0.0000, 0.7500], [0.7500, 0.5000, 0.0000], [0.0000, 0.5000, 0.2500], [0.0000, 0.5000, 0.7500], [0.2500, 0.0000, 0.5000], [0.5000, 0.2500, 0.0000], [0.5000, 0.7500, 0.0000], [0.7500, 0.0000, 0.5000]]}

{"formula": "SrMg2Cd", "functional": "PBE-GGA", "state": "optimized geometry", "total_energy_ev_per_atom": -1.547, "sg": "Pmm2", "lattice": [[3.8974, 0.0000, 0.0000], [0.0000, 3.9077, 0.0000], [0.0000, 0.0000, 7.5253]], "species": ["Sr", "Mg", "Mg", "Cd"], "frac_coords": [[0.0000, 0.0000, 0.0000], [0.0000, 0.0000, 0.5167], [0.5000, 0.5000, 0.3085], [0.5000, 0.5000, 0.7167]]}